Version A
A relaxed structure of MgC2N. Source: Alexandria, functional PBE.

Geometry as POSCAR:
```
MgC2N
1.0
0.000 2.676 2.676
2.676 0.000 2.676
2.676 2.676 0.000
Mg C N
1 2 1
Direct
0.500 0.500 0.500
0.250 0.250 0.250
0.750 0.750 0.750
0.000 0.000 0.000
```

=====

Version B
A relaxed structure of MgC2N. Source: Alexandria, functional PBE.

Geometry as POSCAR:
```
MgC2N
1.0
4.773 0.000 0.000
0.000 4.773 0.000
2.386 2.386 3.017
Mg C N
2 4 2
Direct
0.000 0.000 0.000
0.750 0.250 0.500
0.522 0.125 0.250
0.228 0.625 0.250
0.375 0.478 0.750
0.875 0.772 0.750
0.500 0.500 0.000
0.250 0.750 0.500
```

=====

Relative calculated energies, zero for the most stable structure, unit meV/atom: version A 1496; version B 0.

=====

Version A
A relaxed structure of MgCSe2N. Source: Alexandria, functional PBE.

Geometry as POSCAR:
```
MgCSe2N
1.0
5.979 0.000 0.000
0.000 5.979 0.000
0.000 0.000 2.514
Mg C Se N
1 1 2 1
Direct
0.500 0.500 0.500
0.000 0.000 0.000
0.000 0.500 0.000
0.500 0.000 0.000
0.000 0.000 0.500
```

=====

Version B
A relaxed structure of MgCSe2N. Source: Alexandria, functional PBE.

Geometry as POSCAR:
```
MgCSe2N
1.0
5.015 0.000 0.000
0.000 5.015 0.000
0.000 0.000 3.796
Mg C Se N
1 1 2 1
Direct
0.000 0.000 0.000
0.500 0.500 0.500
0.000 0.500 0.000
0.500 0.000 0.000
0.000 0.000 0.500
```

=====

Relative calculated energies, zero for the most stable structure, unit meV/atom: version A 0; version B 1585.

=====

Version A
A relaxed structure of MgCSeN2. Source: Alexandria, functional PBE.

Geometry as POSCAR:
```
MgCSeN2
1.0
3.953 0.000 0.000
0.000 3.953 0.000
0.000 0.000 5.650
Mg C Se N
1 1 1 2
Direct
0.000 0.000 0.000
0.500 0.500 0.500
0.000 0.000 0.500
0.000 0.500 0.000
0.500 0.000 0.000
```

=====

Version B
A relaxed structure of MgCSeN2. Source: Alexandria, functional PBE.

Geometry as POSCAR:
```
MgCSeN2
1.0
3.589 0.000 0.000
0.000 3.589 0.000
0.000 0.000 4.555
Mg C Se N
1 1 1 2
Direct
0.500 0.500 0.500
0.000 0.000 0.000
0.000 0.000 0.500
0.000 0.500 0.000
0.500 0.000 0.000
```

=====

Relative calculated energies, zero for the most stable structure, unit meV/atom: version A 690; version B 0.

=====

Version A
A relaxed structure of NaMgC3. Source: Alexandria, functional PBE.

Geometry as POSCAR:
```
NaMgC3
1.0
-3.951 0.150 -1.617
-1.621 -0.588 3.908
-0.085 4.228 0.601
Na Mg C
1 1 3
Direct
0.500 0.500 0.500
0.000 0.000 0.000
0.000 0.500 0.000
0.000 0.000 0.500
0.500 0.000 0.000
```

=====

Version B
A relaxed structure of NaMgC3. Source: Alexandria, functional PBE.

Geometry as POSCAR:
```
NaMgC3
1.0
-2.224 0.820 -3.524
-3.165 -2.446 1.428
-1.754 3.374 1.892
Na Mg C
1 1 3
Direct
0.000 0.000 0.000
0.500 0.500 0.500
0.000 0.500 0.000
0.000 0.000 0.500
0.500 0.000 0.000
```

=====

Relative calculated energies, zero for the most stable structure, unit meV/atom: version A 0; version B 635.

=====

Version A
A relaxed structure of NaMg3C. Source: Alexandria, functional PBE.

Geometry as POSCAR:
```
NaMg3C
1.0
-2.730 4.110 2.378
-3.167 -3.620 2.619
3.537 -0.070 4.181
Na Mg C
1 3 1
Direct
0.000 0.000 0.000
0.000 0.500 0.000
0.000 0.000 0.500
0.500 0.000 0.000
0.500 0.500 0.500
```

=====

Version B
A relaxed structure of NaMg3C. Source: Alexandria, functional PBE.

Geometry as POSCAR:
```
NaMg3C
1.0
4.573 0.000 0.000
0.000 4.573 0.000
0.000 0.000 4.573
Na Mg C
1 3 1
Direct
0.500 0.500 0.500
0.000 0.500 0.000
0.000 0.000 0.500
0.500 0.000 0.000
0.000 0.000 0.000
```

=====

Relative calculated energies, zero for the most stable structure, unit meV/atom: version A 1612; version B 0.

=====

Version A
A relaxed structure of Na3MgC. Source: Alexandria, functional PBE.

Geometry as POSCAR:
```
Na3MgC
1.0
5.899 0.000 0.000
0.000 5.899 0.000
0.000 0.000 5.899
Na Mg C
3 1 1
Direct
0.000 0.500 0.000
0.000 0.000 0.500
0.500 0.000 0.000
0.000 0.000 0.000
0.500 0.500 0.500
```

=====

Version B
A relaxed structure of Na3MgC. Source: Alexandria, functional PBE.

Geometry as POSCAR:
```
Na3MgC
1.0
-4.375 1.491 -2.022
-2.218 -4.199 1.703
-1.179 2.366 4.297
Na Mg C
3 1 1
Direct
0.000 0.500 0.000
0.000 0.000 0.500
0.500 0.000 0.000
0.500 0.500 0.500
0.000 0.000 0.000
```

=====

Relative calculated energies, zero for the most stable structure, unit meV/atom: version A 729; version B 0.

=====

Version A
A relaxed structure of MgNbC3. Source: Alexandria, functional PBE.

Geometry as POSCAR:
```
MgNbC3
1.0
3.901 0.000 0.000
0.000 3.901 0.000
0.000 0.000 3.901
C Nb Mg
3 1 1
Direct
0.000 0.500 0.000
0.000 0.000 0.500
0.500 0.000 0.000
0.500 0.500 0.500
0.000 0.000 0.000
```

=====

Version B
A relaxed structure of MgNbC3. Source: Alexandria, functional PBE.

Geometry as POSCAR:
```
MgNbC3
1.0
-4.005 -1.009 0.703
0.906 -4.040 -0.642
0.832 -0.462 4.080
C Nb Mg
3 1 1
Direct
0.000 0.500 0.000
0.000 0.000 0.500
0.500 0.000 0.000
0.000 0.000 0.000
0.500 0.500 0.500
```

=====

Relative calculated energies, zero for the most stable structure, unit meV/atom: version A 933; version B 0.

=====

Version A
A relaxed structure of Mg6NbC. Source: Alexandria, functional PBE.

Geometry as POSCAR:
```
Mg6NbC
1.0
2.771 -5.964 0.000
2.771 5.964 0.000
0.000 0.000 4.532
Mg Nb C
6 1 1
Direct
0.801 0.692 0.500
0.308 0.199 0.500
0.660 0.833 0.000
0.167 0.340 0.000
0.664 0.336 0.000
0.198 0.802 0.000
0.811 0.189 0.500
0.392 0.608 0.500
```

=====

Version B
A relaxed structure of Mg6NbC. Source: Alexandria, functional PBE.

Geometry as POSCAR:
```
Mg6NbC
1.0
3.938 -4.837 0.000
3.938 4.837 0.000
0.000 0.000 4.400
Mg Nb C
6 1 1
Direct
0.597 0.791 0.000
0.209 0.403 0.000
0.701 0.299 0.000
0.885 0.578 0.500
0.422 0.115 0.500
0.914 0.086 0.500
0.128 0.872 0.000
0.144 0.856 0.500
```

=====

Relative calculated energies, zero for the most stable structure, unit meV/atom: version A 345; version B 0.

=====

Version A
A relaxed structure of MgNb3C. Source: Alexandria, functional PBE.

Geometry as POSCAR:
```
MgNb3C
1.0
4.679 0.000 0.000
0.000 4.679 0.000
0.000 0.000 4.679
C Nb Mg
1 3 1
Direct
0.500 0.500 0.500
0.000 0.500 0.000
0.000 0.000 0.500
0.500 0.000 0.000
0.000 0.000 0.000
```

=====

Version B
A relaxed structure of MgNb3C. Source: Alexandria, functional PBE.

Geometry as POSCAR:
```
MgNb3C
1.0
4.362 0.000 0.000
0.000 4.362 0.000
0.000 0.000 4.362
C Nb Mg
1 3 1
Direct
0.000 0.000 0.000
0.000 0.500 0.000
0.000 0.000 0.500
0.500 0.000 0.000
0.500 0.500 0.500
```

=====

Relative calculated energies, zero for the most stable structure, unit meV/atom: version A 2942; version B 0.

=====

Version A
A relaxed structure of Mg3NiC. Source: Alexandria, functional PBE.

Geometry as POSCAR:
```
Mg3NiC
1.0
4.293 0.000 0.000
0.000 4.293 0.000
0.000 0.000 4.293
Ni Mg C
1 3 1
Direct
0.500 0.500 0.500
0.000 0.500 0.000
0.000 0.000 0.500
0.500 0.000 0.000
0.000 0.000 0.000
```

=====

Version B
A relaxed structure of Mg3NiC. Source: Alexandria, functional PBE.

Geometry as POSCAR:
```
Mg3NiC
1.0
4.659 0.000 0.000
0.000 4.659 0.000
0.000 0.000 4.659
Ni Mg C
1 3 1
Direct
0.000 0.000 0.000
0.000 0.500 0.000
0.000 0.000 0.500
0.500 0.000 0.000
0.500 0.500 0.500
```

=====

Relative calculated energies, zero for the most stable structure, unit meV/atom: version A 0; version B 954.

=====

Version A
A relaxed structure of MgNi2C. Source: Alexandria, functional PBE.

Geometry as POSCAR:
```
MgNi2C
1.0
4.576 0.000 0.000
0.000 4.576 0.000
2.288 2.288 5.675
Ni Mg C
4 2 2
Direct
0.375 0.125 0.250
0.375 0.625 0.250
0.375 0.625 0.750
0.875 0.625 0.750
0.000 0.000 0.000
0.750 0.250 0.500
0.500 0.500 0.000
0.250 0.750 0.500
```

=====

Version B
A relaxed structure of MgNi2C. Source: Alexandria, functional PBE.

Geometry as POSCAR:
```
MgNi2C
1.0
0.000 2.752 2.752
2.752 0.000 2.752
2.752 2.752 0.000
Ni Mg C
2 1 1
Direct
0.250 0.250 0.250
0.750 0.750 0.750
0.500 0.500 0.500
0.000 0.000 0.000
```

=====

Relative calculated energies, zero for the most stable structure, unit meV/atom: version A 0; version B 536.

=====

Version A
A relaxed structure of MgNi3C. Source: Alexandria, functional PBE.

Geometry as POSCAR:
```
MgNi3C
1.0
-3.296 1.843 -0.519
-1.103 -2.672 -2.484
-1.565 -1.998 2.844
Ni Mg C
3 1 1
Direct
0.000 0.500 0.000
0.000 0.000 0.500
0.500 0.000 0.000
0.500 0.500 0.500
0.000 0.000 0.000
```

=====

Version B
A relaxed structure of MgNi3C. Source: Alexandria, functional PBE.

Geometry as POSCAR:
```
MgNi3C
1.0
4.292 0.000 0.000
0.000 4.292 0.000
0.000 0.000 4.292
Ni Mg C
3 1 1
Direct
0.000 0.500 0.000
0.000 0.000 0.500
0.500 0.000 0.000
0.000 0.000 0.000
0.500 0.500 0.500
```

=====

Relative calculated energies, zero for the most stable structure, unit meV/atom: version A 0; version B 2561.

=====

Version A
A relaxed structure of Mg6NiC. Source: Alexandria, functional PBE.

Geometry as POSCAR:
```
Mg6NiC
1.0
3.940 -5.573 0.000
3.940 5.573 0.000
0.000 0.000 3.316
Mg Ni C
6 1 1
Direct
0.580 0.776 0.000
0.224 0.420 0.000
0.642 0.358 0.000
0.991 0.659 0.500
0.341 0.009 0.500
0.859 0.141 0.500
0.025 0.975 0.000
0.338 0.662 0.500
```

=====

Version B
A relaxed structure of Mg6NiC. Source: Alexandria, functional PBE.

Geometry as POSCAR:
```
Mg6NiC
1.0
4.089 -4.486 0.000
4.089 4.486 0.000
0.000 0.000 3.813
Mg Ni C
6 1 1
Direct
0.393 0.107 0.500
0.893 0.607 0.500
0.207 0.438 0.000
0.562 0.793 0.000
0.710 0.290 0.000
0.090 0.910 0.000
0.893 0.107 0.500
0.252 0.748 0.500
```

=====

Relative calculated energies, zero for the most stable structure, unit meV/atom: version A 0; version B 38.

=====

Version A
A relaxed structure of MgNiC3. Source: Alexandria, functional PBE.

Geometry as POSCAR:
```
MgNiC3
1.0
3.794 0.000 0.000
0.000 3.794 0.000
0.000 0.000 3.794
Ni Mg C
1 1 3
Direct
0.000 0.000 0.000
0.500 0.500 0.500
0.000 0.500 0.000
0.000 0.000 0.500
0.500 0.000 0.000
```

=====

Version B
A relaxed structure of MgNiC3. Source: Alexandria, functional PBE.

Geometry as POSCAR:
```
MgNiC3
1.0
-2.406 -3.173 -0.377
2.647 -2.243 1.990
-1.790 0.948 3.449
Ni Mg C
1 1 3
Direct
0.500 0.500 0.500
0.000 0.000 0.000
0.000 0.500 0.000
0.000 0.000 0.500
0.500 0.000 0.000
```

=====

Relative calculated energies, zero for the most stable structure, unit meV/atom: version A 0; version B 1231.